Entry 1:
Li8Tl2Sn | PBE-GGA | relaxed

Cell lengths 4.726, 7.439, 7.445 Å; angles 119.99, 108.51, 90.00 degrees
Atoms (fractional coordinates):
1 Li 0.643 0.844 0.285
2 Li 0.357 0.559 0.714
3 Li 0.146 0.146 0.293
4 Li 0.000 0.286 0.000
5 Li 0.854 0.854 0.707
6 Li 0.643 0.441 0.286
7 Li 0.357 0.156 0.715
8 Li 0.000 0.714 0.000
9 Tl 0.204 0.705 0.408
10 Tl 0.796 0.295 0.592
11 Sn 0.500 0.000 0.000

Properties
space-group type: Immm, No. 71
total moment: 0.0 μB per formula unit
energy above the lowest structure with this stoichiometry: 0 meV per atom
density: 4.590 g cm⁻³


Entry 2:
Li2Tl3Sn9 | PBE-GGA | relaxed

Cell lengths 4.938, 9.204, 9.204 Å; angles 78.84, 74.44, 74.44 degrees
Atoms (fractional coordinates):
1 Li 0.500 0.357 0.643
2 Li 0.500 0.643 0.357
3 Tl 0.000 0.000 0.000
4 Tl 0.711 0.289 0.289
5 Tl 0.289 0.711 0.711
6 Sn 0.000 0.500 0.500
7 Sn 0.631 0.009 0.730
8 Sn 0.369 0.991 0.270
9 Sn 0.631 0.730 0.009
10 Sn 0.369 0.270 0.991
11 Sn 0.854 0.853 0.439
12 Sn 0.146 0.147 0.561
13 Sn 0.854 0.439 0.853
14 Sn 0.146 0.561 0.147

Properties
space-group type: Immm, No. 71
total moment: 0.0 μB per formula unit
density: 7.315 g cm⁻³


Entry 3:
LiTl2Sn2 | PBE-GGA | relaxed

Cell lengths 7.803, 7.803, 4.630 Å; angles 90.00, 90.00, 90.00 degrees
Atoms (fractional coordinates):
1 Tl 0.343 0.843 0.000
2 Tl 0.843 0.657 0.000
3 Tl 0.657 0.157 0.000
4 Tl 0.157 0.343 0.000
5 Sn 0.146 0.646 0.500
6 Sn 0.646 0.854 0.500
7 Sn 0.854 0.354 0.500
8 Sn 0.354 0.146 0.500
9 Li 0.000 0.000 0.000
10 Li 0.500 0.500 0.000

Properties
space-group type: P4/mbm, No. 127
total moment: 0.0 μB per formula unit
energy above the lowest structure with this stoichiometry: 156 meV per atom
density: 7.693 g cm⁻³


Entry 4:
Li14TlSn | PBE-GGA | relaxed

Cell lengths 6.906, 6.906, 6.346 Å; angles 90.00, 90.00, 90.00 degrees
Atoms (fractional coordinates):
1 Li 0.875 0.875 0.000
2 Li 0.375 0.375 0.000
3 Li 0.875 0.375 0.500
4 Li 0.875 0.375 0.000
5 Li 0.375 0.875 0.500
6 Li 0.375 0.875 0.000
7 Li 0.624 0.126 0.265
8 Li 0.624 0.126 0.735
9 Li 0.126 0.624 0.265
10 Li 0.126 0.624 0.735
11 Li 0.624 0.624 0.265
12 Li 0.624 0.624 0.735
13 Li 0.126 0.126 0.265
14 Li 0.126 0.126 0.735
15 Tl 0.875 0.875 0.500
16 Sn 0.375 0.375 0.500

Properties
space-group type: P4/mmm, No. 123
total moment: 0.0 μB per formula unit
density: 2.306 g cm⁻³


Entry 5:
LiTlSn | PBE-GGA | relaxed

Cell lengths 5.566, 3.479, 7.670 Å; angles 90.00, 83.38, 90.00 degrees
Atoms (fractional coordinates):
1 Tl 0.777 0.500 0.360
2 Tl 0.223 0.500 0.640
3 Sn 0.000 0.000 0.000
4 Sn 0.500 0.500 0.000
5 Li 0.707 0.000 0.693
6 Li 0.293 0.000 0.307

Properties
space-group type: P2/m, No. 10
total moment: 0.0 μB per formula unit
density: 7.430 g cm⁻³


Entry 6:
LiTl2Sn | PBE-GGA | relaxed

Cell lengths 5.334, 5.334, 5.334 Å; angles 60.00, 60.00, 60.00 degrees
Atoms (fractional coordinates):
1 Tl 0.250 0.250 0.250
2 Tl 0.750 0.750 0.750
3 Sn 0.500 0.500 0.500
4 Li 0.000 0.000 0.000

Properties
space-group type: Fm-3m, No. 225
total moment: 0.0 μB per formula unit
energy above the lowest structure with this stoichiometry: 8 meV per atom
density: 8.271 g cm⁻³


| no. | ΔH_f (0 K) (eV/atom) |
| --- | --- |
| 1 | -0.248 |
| 2 | -0.065 |
| 3 | 0.046 |
| 4 | -0.147 |
| 5 | -0.148 |
| 6 | -0.065 |